KSr2Se: optimized geometry, PBE-GGA.

Values from the calculation:
* magnetization: 0.000 Bohr magnetons per cell
* space-group type: No. 11
* E: -2.87 eV/atom

Unit cell a=7.9237 b=4.3373 c=11.0619 alpha=90.00 beta=90.35 gamma=90.00
Last column: nearest neighbours and their distance in Å.
Atoms (fractional coordinates):
K1 0.0772 0.2500 0.3344  1 Se 3.37
K2 0.9228 0.7500 0.6656  1 Se 3.37
Sr1 0.2510 0.7500 0.0000  3 Se 3.12-3.13
Sr2 0.4249 0.2500 0.6691  2 Se 3.11
Sr3 0.5751 0.7500 0.3309  2 Se 3.11
Sr4 0.7490 0.2500 0.0000  3 Se 3.12-3.13
Se1 0.4253 0.2500 0.1604  5 Sr 3.11-3.13, 1 K 3.37
Se2 0.5747 0.7500 0.8396  5 Sr 3.11-3.13, 1 K 3.37


KSrSe4: optimized geometry, PBE-GGA.

Values from the calculation:
* magnetization: 0.000 Bohr magnetons per cell
* space-group type: No. 216
* E: -3.32 eV/atom

Unit cell a=6.0776 b=6.0776 c=6.0776 alpha=60.00 beta=60.00 gamma=60.00
Last column: nearest neighbours and their distance in Å.
Atoms (fractional coordinates):
K1 0.0000 0.0000 0.0000  12 Se 3.56, 4 Sr 3.72
Sr1 0.2500 0.2500 0.2500  12 Se 3.56, 4 K 3.72
Se1 0.1255 0.6248 0.6248  6 Se 3.03-3.04
Se2 0.6248 0.1255 0.6248  6 Se 3.03-3.04
Se3 0.6248 0.6248 0.1255  6 Se 3.03-3.04
Se4 0.6248 0.6248 0.6248  6 Se 3.03-3.04


KSr2Se: optimized geometry, PBE-GGA.

Values from the calculation:
* magnetization: 0.000 Bohr magnetons per cell
* space-group type: No. 6
* E: -2.86 eV/atom

Unit cell a=7.7758 b=4.4122 c=11.4983 alpha=90.00 beta=104.99 gamma=90.00
Last column: nearest neighbours and their distance in Å.
Atoms (fractional coordinates):
K1 0.0000 0.0000 0.0000  3 Se 3.31-3.34
K2 0.2576 0.5000 0.3263  4 K 4.37-4.41, 8 Sr 4.39-4.79
Sr1 0.1997 0.0000 0.6573  3 Se 3.06-3.11
Sr2 0.4907 0.5000 0.9797  3 Se 3.07-3.12
Sr3 0.7191 0.5000 0.6642  3 Se 3.09-3.14
Sr4 0.7464 0.0000 0.3266  5 K 4.39-4.67, 7 Sr 4.41-4.54
Se1 0.1098 0.5000 0.8164  4 Sr 3.06-3.09, 2 K 3.31
Se2 0.5899 0.0000 0.8163  5 Sr 3.11-3.14, 1 K 3.34


K3SrSe: optimized geometry, PBE-GGA.

Values from the calculation:
* energy relative to the lowest polymorph listed for this composition: 0 meV/atom
* magnetization: 0.000 Bohr magnetons per cell
* space-group type: No. 221

Unit cell a=6.4932 b=6.4932 c=6.4932 alpha=90.00 beta=90.00 gamma=90.00
Last column: nearest neighbours and their distance in Å.
Atoms (fractional coordinates):
K1 0.0000 0.0000 0.5000  2 Se 3.25
K2 0.0000 0.5000 0.0000  2 Se 3.25
K3 0.5000 0.0000 0.0000  2 Se 3.25
Sr1 0.5000 0.5000 0.5000  12 K 4.59
Se1 0.0000 0.0000 0.0000  6 K 3.25


K2SrSe: optimized geometry, PBE-GGA.

Values from the calculation:
* magnetization: 0.000 Bohr magnetons per cell
* space-group type: No. 6
* E: -2.69 eV/atom

Unit cell a=4.4057 b=4.2572 c=10.7008 alpha=90.00 beta=101.57 gamma=90.00
Last column: nearest neighbours and their distance in Å.
Atoms (fractional coordinates):
K1 0.0000 0.0000 0.0000  1 Se 3.81, 2 K 4.26
K2 0.3253 0.5000 0.6580  2 Se 3.75, 2 Sr 4.16-4.17
Sr1 0.6593 0.5000 0.3210  4 Se 3.10
Se1 0.1800 0.0000 0.3637  4 Sr 3.10


K2SrSe: optimized geometry, PBE-GGA.

Values from the calculation:
* magnetization: 0.001 Bohr magnetons per cell
* space-group type: No. 99
* E: -2.66 eV/atom

Unit cell a=4.0685 b=4.0685 c=11.4507 alpha=90.00 beta=90.00 gamma=90.00
Last column: nearest neighbours and their distance in Å.
Atoms (fractional coordinates):
K1 0.0000 0.0000 0.0000  4 K 4.07
K2 0.5000 0.5000 0.3500  1 Sr 3.59, 4 Se 3.71
Sr1 0.5000 0.5000 0.6639  4 Se 3.13
Se1 0.0000 0.0000 0.5552  4 Sr 3.13


KSr2Se: optimized geometry, PBE-GGA.

Values from the calculation:
* magnetization: 0.000 Bohr magnetons per cell
* space-group type: No. 12
* E: -2.81 eV/atom

Unit cell a=7.9616 b=7.9616 c=9.1050 alpha=109.11 beta=109.11 gamma=45.23
Last column: nearest neighbours and their distance in Å.
Atoms (fractional coordinates):
K1 0.1747 0.1747 0.3412  2 Se 3.25-3.36
K2 0.8253 0.8253 0.6588  2 Se 3.25-3.36
Sr1 0.1524 0.1524 0.8404  2 Se 3.07-3.11
Sr2 0.5000 0.5000 0.0000  2 Se 3.06
Sr3 0.5000 0.5000 0.5000  2 Se 3.06
Sr4 0.8476 0.8476 0.1596  2 Se 3.07-3.11
Se1 0.0000 0.0000 0.0000  4 Sr 3.06-3.07, 2 K 3.25
Se2 0.0000 0.0000 0.5000  4 Sr 3.06-3.11, 2 K 3.36


K2SrSe: optimized geometry, PBE-GGA.

Values from the calculation:
* magnetization: 0.000 Bohr magnetons per cell
* space-group type: No. 122
* E: -2.53 eV/atom

Unit cell a=8.9503 b=8.9503 c=8.9503 alpha=96.40 beta=96.40 gamma=140.98
Last column: nearest neighbours and their distance in Å.
Atoms (fractional coordinates):
K1 0.3750 0.2380 0.3630  2 Se 3.36
K2 0.7620 0.1250 0.1370  2 Se 3.36
K3 0.8750 0.0120 0.6370  2 Se 3.36
K4 0.9880 0.6250 0.8630  2 Se 3.36
Sr1 0.2500 0.7500 0.5000  2 Se 2.99
Sr2 0.5000 0.5000 0.0000  2 Se 2.99
Se1 0.0000 0.0000 0.0000  2 Sr 2.99
Se2 0.7500 0.2500 0.5000  2 Sr 2.99


KSr2Se: optimized geometry, PBE-GGA.

Values from the calculation:
* magnetization: 0.000 Bohr magnetons per cell
* space-group type: No. 123
* E: -2.77 eV/atom

Unit cell a=3.9242 b=3.9242 c=11.1748 alpha=90.00 beta=90.00 gamma=90.00
Last column: nearest neighbours and their distance in Å.
Atoms (fractional coordinates):
K1 0.0000 0.0000 0.0000  4 K 3.92
Sr1 0.5000 0.5000 0.3345  4 Se 3.33, 1 Sr 3.70
Sr2 0.5000 0.5000 0.6655  4 Se 3.33, 1 Sr 3.70
Se1 0.0000 0.0000 0.5000  8 Sr 3.33


KSr2Se: optimized geometry, PBE-GGA.

Values from the calculation:
* magnetization: 0.000 Bohr magnetons per cell
* space-group type: No. 6
* E: -2.85 eV/atom

Unit cell a=4.3179 b=11.5835 c=4.3208 alpha=90.00 beta=119.92 gamma=90.00
Last column: nearest neighbours and their distance in Å.
Atoms (fractional coordinates):
K1 0.0000 0.0000 0.0000  6 K 4.32, 6 Sr 4.55-4.59
Sr1 0.6662 0.3305 0.3436  3 Se 3.17-3.18
Sr2 0.6662 0.6695 0.3436  3 Se 3.17-3.18
Se1 0.9996 0.5000 0.0101  6 Sr 3.17-3.18


KSr2Se: optimized geometry, PBE-GGA.

Values from the calculation:
* magnetization: 0.001 Bohr magnetons per cell
* space-group type: No. 8
* E: -2.87 eV/atom

Unit cell a=11.8529 b=11.8529 c=7.7906 alpha=107.83 beta=107.83 gamma=21.43
Last column: nearest neighbours and their distance in Å.
Atoms (fractional coordinates):
K1 0.0000 0.0000 0.0000  3 Se 3.31-3.36
K2 0.6652 0.6652 0.0209  8 Sr 4.38-4.83, 4 K 4.39-4.41
Sr1 0.1626 0.1626 0.5322  5 K 4.38-4.66, 7 Sr 4.41-4.53
Sr2 0.3320 0.3320 0.9941  3 Se 3.07-3.12
Sr3 0.4888 0.4888 0.4915  3 Se 3.06-3.13
Sr4 0.8268 0.8268 0.5094  3 Se 3.07-3.12
Se1 0.4077 0.4077 0.7345  4 Sr 3.06-3.07, 2 K 3.31
Se2 0.9064 0.9064 0.2524  5 Sr 3.12-3.13, 1 K 3.36


KSr2Se: optimized geometry, PBE-GGA.

Values from the calculation:
* magnetization: 0.005 Bohr magnetons per cell
* space-group type: No. 44
* E: -2.81 eV/atom

Unit cell a=7.9434 b=7.9434 c=7.9434 alpha=146.66 beta=134.74 gamma=57.36
Last column: nearest neighbours and their distance in Å.
Atoms (fractional coordinates):
K1 0.0000 0.0000 0.0000  2 Se 3.38
Sr1 0.3374 0.3374 0.0000  2 Se 3.07
Sr2 0.6753 0.6753 0.0000  2 Se 3.05
Se1 0.8204 0.3204 0.5000  4 Sr 3.05-3.07, 2 K 3.38


K3SrSe: optimized geometry, PBE-GGA.

Values from the calculation:
* energy relative to the lowest polymorph listed for this composition: 945 meV/atom
* magnetization: 0.950 Bohr magnetons per cell
* space-group type: No. 221

Unit cell a=7.3018 b=7.3018 c=7.3018 alpha=90.00 beta=90.00 gamma=90.00
Last column: nearest neighbours and their distance in Å.
Atoms (fractional coordinates):
K1 0.0000 0.0000 0.5000  2 Sr 3.65
K2 0.0000 0.5000 0.0000  2 Sr 3.65
K3 0.5000 0.0000 0.0000  2 Sr 3.65
Sr1 0.0000 0.0000 0.0000  6 K 3.65
Se1 0.5000 0.5000 0.5000  12 K 5.16


KSr2Se: optimized geometry, PBE-GGA.

Values from the calculation:
* magnetization: 0.002 Bohr magnetons per cell
* space-group type: No. 187
* E: -2.85 eV/atom

Unit cell a=4.3253 b=4.3253 c=11.6104 alpha=90.00 beta=90.00 gamma=120.00
Last column: nearest neighbours and their distance in Å.
Atoms (fractional coordinates):
K1 0.0000 0.0000 0.0000  6 K 4.33, 6 Sr 4.58
Sr1 0.6667 0.3333 0.3310  3 Se 3.18
Sr2 0.6667 0.3333 0.6690  3 Se 3.18
Se1 0.3333 0.6667 0.5000  6 Sr 3.18


KSr2Se: optimized geometry, PBE-GGA.

Values from the calculation:
* magnetization: 0.000 Bohr magnetons per cell
* space-group type: No. 8
* E: -2.80 eV/atom

Unit cell a=7.0331 b=7.0331 c=7.6820 alpha=116.20 beta=116.20 gamma=34.32
Last column: nearest neighbours and their distance in Å.
Atoms (fractional coordinates):
K1 0.0000 0.0000 0.0000  3 Se 3.62-3.73, 1 Sr 4.03
Sr1 0.1681 0.1681 0.6811  2 Se 3.06
Sr2 0.3434 0.3434 0.3370  2 Se 3.07
Se1 0.7332 0.7332 0.0083  4 Sr 3.06-3.07


K2Sr2TaSe6: optimized geometry, PBE-GGA.

Values from the calculation:
* magnetization: 0.001 Bohr magnetons per cell
* space-group type: No. 12
* E: -4.72 eV/atom

Unit cell a=7.3265 b=7.3265 c=8.1561 alpha=99.43 beta=99.43 gamma=118.07
Last column: nearest neighbours and their distance in Å.
Atoms (fractional coordinates):
K1 0.1759 0.8241 0.0000  6 Se 3.30-3.52
K2 0.8241 0.1759 0.0000  6 Se 3.30-3.52
Sr1 0.3359 0.6641 0.5000  6 Se 3.07-3.11
Sr2 0.6641 0.3359 0.5000  6 Se 3.07-3.11
Ta1 0.0000 0.0000 0.5000  6 Se 2.62
Se1 0.0705 0.3577 0.7013  1 Ta 2.62
Se2 0.2105 0.2105 0.2994  1 Ta 2.62
Se3 0.3577 0.0705 0.7013  1 Ta 2.62
Se4 0.6423 0.9295 0.2987  1 Ta 2.62
Se5 0.7895 0.7895 0.7006  1 Ta 2.62
Se6 0.9295 0.6423 0.2987  1 Ta 2.62


K3Sr2TaSe6: optimized geometry, PBE-GGA.

Values from the calculation:
* magnetization: 0.000 Bohr magnetons per cell
* space-group type: No. 12
* E: -4.65 eV/atom

Unit cell a=7.4838 b=7.4838 c=7.9979 alpha=99.14 beta=99.14 gamma=119.94
Last column: nearest neighbours and their distance in Å.
Atoms (fractional coordinates):
K1 0.0000 0.0000 0.0000  4 Se 3.24
K2 0.3283 0.6717 0.0000  6 Se 3.26-3.56
K3 0.6717 0.3283 0.0000  6 Se 3.26-3.56
Sr1 0.1662 0.8338 0.5000  6 Se 3.09-3.10
Sr2 0.8338 0.1662 0.5000  6 Se 3.09-3.10
Ta1 0.5000 0.5000 0.5000  6 Se 2.64-2.65
Se1 0.1432 0.4318 0.2960  1 Ta 2.65
Se2 0.2827 0.2827 0.7027  1 Ta 2.64
Se3 0.4318 0.1432 0.2960  1 Ta 2.65
Se4 0.5682 0.8568 0.7040  1 Ta 2.65
Se5 0.7173 0.7173 0.2973  1 Ta 2.64
Se6 0.8568 0.5682 0.7040  1 Ta 2.65


KSr2TaSe: optimized geometry, PBE-GGA.

Values from the calculation:
* magnetization: 3.902 Bohr magnetons per cell
* space-group type: No. 123
* E: -2.72 eV/atom

Unit cell a=6.2812 b=6.2812 c=5.3482 alpha=90.00 beta=90.00 gamma=90.00
Last column: nearest neighbours and their distance in Å.
Atoms (fractional coordinates):
K1 0.0000 0.0000 0.0000  2 Se 2.67
Sr1 0.0000 0.5000 0.0000  2 K 3.14
Sr2 0.5000 0.0000 0.0000  2 K 3.14
Ta1 0.5000 0.5000 0.5000  8 Sr 4.12, 4 Se 4.44
Se1 0.0000 0.0000 0.5000  2 K 2.67


K2SrThSe4: optimized geometry, PBE-GGA.

Values from the calculation:
* magnetization: 0.000 Bohr magnetons per cell
* space-group type: No. 10
* E: -4.87 eV/atom

Unit cell a=7.7016 b=4.4361 c=8.0835 alpha=90.00 beta=108.24 gamma=90.00
Last column: nearest neighbours and their distance in Å.
Atoms (fractional coordinates):
K1 0.0000 0.0000 0.0000  6 Se 3.45-3.50
K2 0.5000 0.5000 0.0000  6 Se 3.30-3.33
Sr1 0.0000 0.5000 0.5000  6 Se 3.11-3.13
Th1 0.5000 0.0000 0.5000  6 Se 2.90-2.98
Se1 0.2586 0.0000 0.7124  1 Th 2.90, 2 Sr 3.11
Se2 0.2797 0.5000 0.2901  2 Th 2.98, 1 Sr 3.13, 1 K 3.30
Se3 0.7203 0.5000 0.7099  2 Th 2.98, 1 Sr 3.13, 1 K 3.30
Se4 0.7414 0.0000 0.2876  1 Th 2.90, 2 Sr 3.11


K2SrTiSe: optimized geometry, PBE-GGA.

Values from the calculation:
* magnetization: 4.004 Bohr magnetons per cell
* space-group type: No. 123
* E: -2.40 eV/atom

Unit cell a=5.9472 b=5.9472 c=6.2837 alpha=90.00 beta=90.00 gamma=90.00
Last column: nearest neighbours and their distance in Å.
Atoms (fractional coordinates):
K1 0.0000 0.5000 0.0000  2 Ti 2.97
K2 0.5000 0.0000 0.0000  2 Ti 2.97
Sr1 0.0000 0.0000 0.5000  2 Ti 3.14
Ti1 0.0000 0.0000 0.0000  4 K 2.97, 2 Sr 3.14
Se1 0.5000 0.5000 0.5000  4 Sr 4.21, 8 K 4.33